{"formula": "Zr2Ti", "functional": "GGA-PBE", "state": "optimized geometry", "lattice": [[-2.6041, 2.0945, -1.4547], [-1.2029, -2.8471, -1.9319], [-1.0195, -0.7956, 5.2462]], "species": ["Ti", "Zr", "Zr"], "fractional_positions": [[0.5000, 0.5000, 0.0000], [0.1593, 0.1593, 0.3183], [0.8407, 0.8407, 0.6817]], "vol_a3_per_cell": 63.1, "total_magnetization_mub_per_fu": 0.00, "sg": "No. 69", "n_ef_per_ev_cell": 5.14, "formation_enthalpy_0k_ev_per_fu": 0.28}

{"formula": "ZrTi5", "functional": "GGA-PBE", "state": "optimized geometry", "lattice": [[-1.6001, 0.7886, 4.5555], [-4.0302, -2.5600, -0.9724], [0.0730, -5.0968, 0.9080]], "species": ["Ti", "Ti", "Ti", "Ti", "Ti", "Zr"], "fractional_positions": [[0.5000, 0.1580, 0.6839], [0.0000, 0.6423, 0.7155], [0.5000, 0.7865, 0.4270], [0.5000, 0.4722, 0.0556], [0.0000, 0.3021, 0.3958], [0.0000, 0.9722, 0.0556]], "vol_a3_per_cell": 108.9, "total_magnetization_mub_per_fu": 0.00, "sg": "No. 65", "n_ef_per_ev_cell": 10.24, "formation_enthalpy_0k_ev_per_fu": 0.63}

{"formula": "ZrTi", "functional": "GGA-PBE", "state": "optimized geometry", "lattice": [[7.6338, 0.0000, 0.0000], [0.0000, 7.6338, 0.0000], [0.0000, 0.0000, 7.6338]], "species": ["Zr", "Zr", "Zr", "Zr", "Zr", "Zr", "Ti", "Ti", "Ti", "Ti", "Ti", "Ti"], "fractional_positions": [[0.7500, 0.0000, 0.5000], [0.0000, 0.5000, 0.2500], [0.5000, 0.2500, 0.0000], [0.0000, 0.5000, 0.7500], [0.5000, 0.7500, 0.0000], [0.2500, 0.0000, 0.5000], [0.0000, 0.2500, 0.5000], [0.0000, 0.7500, 0.5000], [0.2500, 0.5000, 0.0000], [0.7500, 0.5000, 0.0000], [0.5000, 0.0000, 0.7500], [0.5000, 0.0000, 0.2500]], "vol_a3_per_cell": 444.9, "total_magnetization_mub_per_fu": 2.59, "sg": "No. 223", "n_ef_per_ev_cell": 29.00, "formation_enthalpy_0k_ev_per_fu": 4.85}